# MgCoSiAg

A geometry-optimized MgCoSiAg structure (PBE, the Open Quantum Materials Database).

abc: 4.307 4.307 4.307
angles: 60.00 60.00 60.00
Fractional coordinates of all 4 atoms:
Ag: 0.250 0.250 0.250
Si: 0.000 0.000 0.000
Mg: 0.500 0.500 0.500
Co: 0.750 0.750 0.750

Results
For the energy above the most stable polymorph in this dataset, the calculation gives 0 meV/atom. Its spin magnetization is 0.4 μB per formula unit. As for the total DFT energy (no corrections): -4.19 eV/atom. The density is 6444 kg/m3.